(1)
# SrP2IrPb PBE-GGA optimized geometry
# VASP energy: -24.6 eV/f.u.
# crystal system: tetragonal
# calculated formation energy: 84 meV/atom
# M_tot: 0.00 μB/atom
data_SrP2IrPb
_chemical_formula_sum 'Sr1 P2 Ir1 Pb1'
_space_group_name_H-M_alt 'P 4/m m m'
_space_group_IT_number 123
_space_group_name_Hall '-P 4 2'
_cell_length_a 4.635
_cell_length_b 4.635
_cell_length_c 5.790
_cell_angle_alpha 90.00
_cell_angle_beta 90.00
_cell_angle_gamma 90.00
loop_
_atom_site_label
_atom_site_fract_x
_atom_site_fract_y
_atom_site_fract_z
Sr1 0.000 0.000 0.000
P1 0.000 0.500 0.500
Ir1 0.500 0.500 0.500
Pb1 0.500 0.500 0.000

=====

(2)
# Pm2TlO4F PBE-GGA optimized geometry
# formation energy without anion corrections: -2.61 eV per atom
# VASP energy: -54.4 eV/f.u.
# crystal system: monoclinic
# M_tot: 0.00 μB/atom
data_Pm2TlO4F
_chemical_formula_sum 'Pm4 Tl2 O8 F2'
_space_group_name_H-M_alt 'C 1 2/m 1'
_space_group_IT_number 12
_space_group_name_Hall '-C 2y'
_cell_length_a 10.769
_cell_length_b 3.460
_cell_length_c 6.645
_cell_angle_alpha 90.00
_cell_angle_beta 112.79
_cell_angle_gamma 90.00
loop_
_atom_site_label
_atom_site_fract_x
_atom_site_fract_y
_atom_site_fract_z
Pm1 0.187 0.000 0.199
Tl1 0.000 0.000 0.500
O1 0.133 0.500 0.435
O2 0.174 0.000 0.826
F1 0.000 0.500 0.000

=====

- The highest VASP energy belongs to which entry?
  SrP2IrPb